Record 1
Nd2SmErAs4 | the Alexandria database | GGA-PBE | relaxed; E_form = -12.08 eV/f.u.; size of the total moment = 0.00 μB/cell
1.0
7.292 0.000 0.000
0.000 4.215 0.000
-2.432 0.000 6.877
Nd Sm Er As
2 1 1 4
direct
0.000 0.000 0.000
0.000 0.500 0.500
0.500 0.000 0.500
0.500 0.500 0.000
0.256 0.500 0.248
0.259 0.000 0.757
0.741 0.000 0.243
0.744 0.500 0.752

***

Record 2
SrTi2F8 | the Alexandria database | GGA-PBE | relaxed; size of the total moment = 2.00 μB/cell; ΔE_f (raw) = -3.399 eV per atom
1.0
-1.977 4.254 4.383
1.977 -4.254 4.383
1.977 4.254 -4.383
Sr Ti F
1 2 8
direct
0.000 0.000 0.000
0.335 0.835 0.500
0.665 0.165 0.500
0.019 0.663 0.356
0.307 0.663 0.644
0.329 0.329 0.000
0.331 0.000 0.331
0.669 0.000 0.669
0.671 0.671 0.000
0.693 0.337 0.356
0.981 0.337 0.644

***

size of the total moment of number 1 (Nd2SmErAs4)?
0.00 μB/cell

***

Which of these has the highest size of the total moment?
SrTi2F8